1.
A geometry-optimized Ba2SiTc structure, computed with GGA-PBE.

Structure (POSCAR):
```
Ba2SiTc
1.0
3.618 0.000 0.000
0.000 4.600 0.000
0.000 0.000 7.141
Ba Si Tc
2 1 1
Direct
0.000 0.000 0.244
0.000 0.000 0.756
0.500 0.500 0.000
0.500 0.500 0.500
```

Properties
* SG: Pmmm
* DFT total energy: -4.184 eV/atom
* formation energy without anion corrections: 2.9 eV/f.u.


2.
A geometry-optimized Ba2SiTc structure, computed with GGA-PBE.

Structure (POSCAR):
```
Ba2SiTc
1.0
5.792 0.000 0.000
0.000 5.792 0.000
0.000 0.000 3.697
Ba Si Tc
2 1 1
Direct
0.000 0.500 0.000
0.500 0.000 0.000
0.000 0.000 0.500
0.500 0.500 0.500
```

Properties
* SG: P4/mmm
* DFT total energy: -4.172 eV/atom
* formation energy without anion corrections: 2.9 eV/f.u.


3.
A geometry-optimized Ba2SiTc structure, computed with GGA-PBE.

Structure (POSCAR):
```
Ba2SiTc
1.0
0.000 3.783 3.783
3.783 0.000 3.783
3.783 3.783 0.000
Ba Si Tc
2 1 1
Direct
0.000 0.000 0.000
0.250 0.250 0.250
0.750 0.750 0.750
0.500 0.500 0.500
```

Properties
* SG: F-43m
* DFT total energy: -4.225 eV/atom
* formation energy without anion corrections: 2.7 eV/f.u.


4.
A geometry-optimized BaSi2Tc2 structure, computed with GGA-PBE.

Structure (POSCAR):
```
BaSi2Tc2
1.0
7.728 0.000 0.000
0.000 7.728 0.000
0.000 0.000 2.970
Ba Si Tc
2 4 4
Direct
0.000 0.000 0.000
0.500 0.500 0.000
0.136 0.364 0.500
0.364 0.864 0.500
0.636 0.136 0.500
0.864 0.636 0.500
0.135 0.635 0.000
0.365 0.135 0.000
0.635 0.865 0.000
0.865 0.365 0.000
```

Properties
* energy above the lowest structure with this stoichiometry: 107 meV/atom
* SG: P4/mbm
* DFT total energy: -6.590 eV/atom
* formation energy without anion corrections: 0.6 eV/f.u.